## Pr3Tl5Se12 (GGA-PBE)

Data for crystalline Pr3Tl5Se12 at its relaxed geometry.

Values from the calculation:
spin magnetization: 0.00 μB/atom
formation energy without anion corrections: -14.94 eV/f.u.
space-group type: Ia-3d, No. 230

```
Pr3Tl5Se12
1.0
14.730 0.000 0.000
-4.910 13.887 0.000
-4.910 -6.944 12.027
Pr Tl Se
12 20 48
Direct
0.750 0.375 0.125
0.875 0.750 0.125
0.375 0.750 0.625
0.250 0.125 0.375
0.875 0.125 0.250
0.375 0.625 0.250
0.625 0.375 0.750
0.125 0.875 0.750
0.750 0.875 0.625
0.625 0.250 0.375
0.125 0.250 0.875
0.250 0.625 0.875
0.125 0.375 0.250
0.000 0.500 0.000
0.000 0.000 0.000
0.375 0.250 0.125
0.500 0.000 0.500
0.500 0.500 0.000
0.125 0.750 0.375
0.750 0.125 0.875
0.750 0.625 0.375
0.375 0.125 0.750
0.625 0.875 0.250
0.500 0.500 0.500
0.500 0.000 0.000
0.000 0.000 0.500
0.250 0.375 0.625
0.250 0.875 0.125
0.000 0.500 0.500
0.875 0.250 0.625
0.625 0.750 0.875
0.875 0.625 0.750
0.719 0.134 0.047
0.328 0.547 0.413
0.953 0.366 0.281
0.547 0.219 0.134
0.585 0.719 0.672
0.953 0.587 0.172
0.328 0.781 0.415
0.087 0.915 0.134
0.587 0.953 0.672
0.719 0.585 0.172
0.781 0.453 0.366
0.828 0.913 0.047
0.134 0.719 0.547
0.366 0.413 0.085
0.085 0.913 0.366
0.415 0.134 0.587
0.085 0.172 0.219
0.453 0.672 0.087
0.828 0.915 0.281
0.134 0.415 0.087
0.366 0.953 0.781
0.587 0.634 0.415
0.913 0.828 0.547
0.781 0.328 0.915
0.413 0.366 0.585
0.087 0.172 0.453
0.219 0.672 0.085
0.172 0.085 0.719
0.634 0.047 0.219
0.866 0.585 0.913
0.547 0.328 0.913
0.585 0.866 0.413
0.915 0.828 0.781
0.915 0.087 0.634
0.866 0.281 0.453
0.172 0.087 0.953
0.634 0.587 0.915
0.413 0.047 0.328
0.281 0.415 0.828
0.219 0.547 0.634
0.913 0.085 0.866
0.672 0.219 0.585
0.453 0.781 0.866
0.047 0.413 0.828
0.415 0.281 0.328
0.047 0.634 0.719
0.672 0.453 0.587
0.281 0.866 0.953
```